Record 1
This record from Alexandria via LeMat-Bulk describes a geometry-optimized ScAl2Cd structure. The functional is PBE.

Output
Its symmetry is Pmm2. The total energy is -3.83 eV/atom. As for the total moment: 0.24 μB/cell. Its formation energy is -0.147 eV per atom.

a b c (Å): 3.225 4.008 6.044
angles (deg): 90.00 90.00 90.00
Fractional positions:
Al 0.500 0.500 0.238
Al 0.000 0.000 0.014
Sc 0.500 0.500 0.760
Cd 0.000 0.000 0.488


Record 2
This record from Alexandria via LeMat-Bulk describes a geometry-optimized Pb2AuCl6 structure. The functional is PBE.

Output
Its symmetry is P2_1/c. The raw formation energy comes out at -0.810 eV/atom. The total energy is -3.23 eV/atom. As for the total moment: 2.07 μB/cell.

a b c (Å): 7.181 7.491 10.837
angles (deg): 90.00 101.54 90.00
Fractional positions:
Cl 0.712 0.851 0.051
Cl 0.215 0.643 0.890
Cl 0.285 0.143 0.610
Cl 0.320 0.417 0.295
Cl 0.212 0.649 0.551
Cl 0.288 0.149 0.949
Cl 0.180 0.917 0.205
Cl 0.788 0.351 0.449
Cl 0.785 0.357 0.110
Cl 0.680 0.583 0.705
Cl 0.820 0.083 0.795
Cl 0.715 0.857 0.390
Pb 0.058 0.377 0.716
Pb 0.942 0.623 0.284
Pb 0.558 0.123 0.216
Pb 0.442 0.877 0.784
Au 0.000 0.000 0.000
Au 0.500 0.500 0.500


Record 3
This record from Alexandria via LeMat-Bulk describes a geometry-optimized Nd3Dy2Ho2 structure. The functional is PBE.

Output
Its symmetry is C2/m. The total energy is -4.65 eV/atom. As for the total moment: 0.00 μB/cell. Its formation energy is 0.017 eV per atom.

a b c (Å): 3.598 11.912 6.228
angles (deg): 69.73 73.17 98.68
Fractional positions:
Nd 0.000 0.000 0.000
Nd 0.429 0.573 0.712
Nd 0.571 0.427 0.288
Ho 0.145 0.859 0.570
Ho 0.855 0.141 0.430
Dy 0.711 0.283 0.863
Dy 0.289 0.717 0.137


Record 4
This record from Alexandria via LeMat-Bulk describes a geometry-optimized Mg2TiTl structure. The functional is PBE.

Output
Its symmetry is P4/mmm. The relative energy among the computed polymorphs comes out at 8.7 kJ/mol of atoms. The total energy is -3.25 eV/atom. As for the total moment: 0.00 μB/cell. Its formation energy is 0.116 eV per atom.

a b c (Å): 3.208 3.208 8.461
angles (deg): 90.00 90.00 90.00
Fractional positions:
Tl 0.500 0.500 0.000
Ti 0.500 0.500 0.500
Mg 0.000 0.000 0.732
Mg 0.000 0.000 0.268


Record 5
This record from Alexandria via LeMat-Bulk describes a geometry-optimized RbNb2O5 structure. The functional is PBE.

Output
Its symmetry is Pbam. The raw formation energy comes out at -2.369 eV/atom. The total energy is -8.11 eV/atom. As for the total moment: 0.00 μB/cell.

a b c (Å): 6.294 8.819 9.047
angles (deg): 90.00 90.00 90.00
Fractional positions:
O 0.000 0.130 0.544
O 0.000 0.370 0.044
O 0.291 0.584 0.205
O 0.709 0.584 0.205
O 0.694 0.500 0.500
O 0.709 0.916 0.705
O 0.709 0.084 0.295
O 0.306 0.500 0.500
O 0.694 0.000 0.000
O 0.500 0.322 0.075
O 0.000 0.870 0.456
O 0.306 0.000 0.000
O 0.291 0.084 0.295
O 0.000 0.630 0.956
O 0.500 0.822 0.425
O 0.291 0.416 0.795
O 0.709 0.416 0.795
O 0.500 0.678 0.925
O 0.500 0.178 0.575
O 0.291 0.916 0.705
Nb 0.255 0.500 0.000
Nb 0.745 0.500 0.000
Nb 0.500 0.385 0.636
Nb 0.255 0.000 0.500
Nb 0.500 0.615 0.364
Nb 0.745 0.000 0.500
Nb 0.500 0.885 0.864
Nb 0.500 0.115 0.136
Rb 0.000 0.649 0.661
Rb 0.000 0.851 0.161
Rb 0.000 0.351 0.339
Rb 0.000 0.149 0.839


Record 6
This record from Alexandria via LeMat-Bulk describes a geometry-optimized BaMgCoSn2 structure. The functional is PBE.

Output
Its symmetry is P4/mmm. The total energy is -3.97 eV/atom. As for the total moment: 0.31 μB/cell. Its formation energy is -0.244 eV per atom.

a b c (Å): 5.036 5.036 5.057
angles (deg): 90.00 90.00 90.00
Fractional positions:
Sn 0.000 0.500 0.000
Sn 0.500 0.000 0.000
Co 0.000 0.000 0.000
Mg 0.000 0.000 0.500
Ba 0.500 0.500 0.500


Record 7
This record from Alexandria via LeMat-Bulk describes a geometry-optimized Li3SnPb12 structure. The functional is PBE.

Output
Its symmetry is P4/mmm. The total energy is -3.42 eV/atom. As for the total moment: 0.00 μB/cell. Its formation energy is -0.029 eV per atom.

a b c (Å): 5.482 5.482 15.534
angles (deg): 90.00 90.00 90.00
Fractional positions:
Pb 0.500 0.500 0.500
Pb 0.500 0.000 0.623
Pb 0.000 0.500 0.623
Pb 0.500 0.500 0.747
Pb 0.000 0.500 0.128
Pb 0.500 0.500 0.253
Pb 0.000 0.500 0.377
Pb 0.500 0.000 0.128
Pb 0.500 0.000 0.872
Pb 0.500 0.000 0.377
Pb 0.500 0.500 0.000
Pb 0.000 0.500 0.872
Li 0.000 0.000 0.265
Li 0.000 0.000 0.500
Li 0.000 0.000 0.735
Sn 0.000 0.000 0.000


Record 8
This record from Alexandria via LeMat-Bulk describes a geometry-optimized Tb2SmEu structure. The functional is PBE.

Output
Its symmetry is R-3m. The relative energy among the computed polymorphs comes out at 9.8 kJ/mol of atoms. The total energy is -5.91 eV/atom. As for the total moment: 7.73 μB/cell. Its formation energy is 0.158 eV per atom.

a b c (Å): 3.566 3.566 12.788
angles (deg): 81.99 81.99 60.00
Fractional positions:
Tb 0.909 0.909 0.272
Tb 0.091 0.091 0.728
Eu 0.000 0.000 0.000
Sm 0.500 0.500 0.500


Record 9
This record from Alexandria via LeMat-Bulk describes a geometry-optimized Nb2ReS6 structure. The functional is PBE.

Output
Its symmetry is P4_2/mnm. The raw formation energy comes out at -0.624 eV/atom. The total energy is -7.00 eV/atom. As for the total moment: 0.00 μB/cell.

a b c (Å): 5.966 5.966 9.939
angles (deg): 90.00 90.00 90.00
Fractional positions:
Nb 0.500 0.500 0.667
Nb 0.000 0.000 0.167
Nb 0.000 0.000 0.833
Nb 0.500 0.500 0.333
S 0.294 0.294 0.164
S 0.706 0.706 0.836
S 0.216 0.784 0.000
S 0.794 0.206 0.336
S 0.206 0.794 0.336
S 0.284 0.284 0.500
S 0.784 0.216 0.000
S 0.294 0.294 0.836
S 0.794 0.206 0.664
S 0.716 0.716 0.500
S 0.706 0.706 0.164
S 0.206 0.794 0.664
Re 0.500 0.500 0.000
Re 0.000 0.000 0.500


Record 10
This record from Alexandria via LeMat-Bulk describes a geometry-optimized Na3TbPr2Se6 structure. The functional is PBE.

Output
Its symmetry is C2/m. The raw formation energy comes out at -1.685 eV/atom. The total energy is -4.94 eV/atom. As for the total moment: 0.00 μB/cell.

a b c (Å): 7.391 7.391 7.438
angles (deg): 99.54 99.54 120.00
Fractional positions:
Se 0.246 0.246 0.766
Se 0.922 0.597 0.765
Se 0.754 0.754 0.234
Se 0.597 0.922 0.765
Se 0.078 0.403 0.235
Se 0.403 0.078 0.235
Na 0.833 0.167 0.500
Na 0.500 0.500 0.500
Na 0.167 0.833 0.500
Pr 0.333 0.667 0.000
Pr 0.667 0.333 0.000
Tb 0.000 0.000 0.000


Record 11
This record from Alexandria via LeMat-Bulk describes a geometry-optimized PrDy2Y9 structure. The functional is PBE.

Output
Its symmetry is P4/mmm. The total energy is -5.99 eV/atom. As for the total moment: 0.00 μB/cell. Its formation energy is 0.025 eV per atom.

a b c (Å): 5.062 5.062 15.191
angles (deg): 90.00 90.00 90.00
Fractional positions:
Y 0.500 0.000 0.831
Y 0.000 0.500 0.500
Y 0.000 0.500 0.169
Y 0.500 0.000 0.169
Y 0.500 0.500 0.335
Y 0.000 0.500 0.831
Y 0.500 0.500 0.665
Y 0.500 0.000 0.500
Y 0.500 0.500 0.000
Dy 0.000 0.000 0.666
Dy 0.000 0.000 0.334
Pr 0.000 0.000 0.000


Question: What is the total moment in the first record?
Answer: 0.24 μB/cell


Question: Which formula does entry 1 have?
Answer: ScAl2Cd


Copy entry 2 word for word.
This record from Alexandria via LeMat-Bulk describes a geometry-optimized Pb2AuCl6 structure. The functional is PBE.

Output
Its symmetry is P2_1/c. The raw formation energy comes out at -0.810 eV/atom. The total energy is -3.23 eV/atom. As for the total moment: 2.07 μB/cell.

a b c (Å): 7.181 7.491 10.837
angles (deg): 90.00 101.54 90.00
Fractional positions:
Cl 0.712 0.851 0.051
Cl 0.215 0.643 0.890
Cl 0.285 0.143 0.610
Cl 0.320 0.417 0.295
Cl 0.212 0.649 0.551
Cl 0.288 0.149 0.949
Cl 0.180 0.917 0.205
Cl 0.788 0.351 0.449
Cl 0.785 0.357 0.110
Cl 0.680 0.583 0.705
Cl 0.820 0.083 0.795
Cl 0.715 0.857 0.390
Pb 0.058 0.377 0.716
Pb 0.942 0.623 0.284
Pb 0.558 0.123 0.216
Pb 0.442 0.877 0.784
Au 0.000 0.000 0.000
Au 0.500 0.500 0.500